Entry 1:
The following is a DFT calculation (PBE) of a geometry-optimized NaPmDy4Se8 structure.

Size of the total moment in μB/atom: 0.00
Calculated density in g/cm3: 5.5
E_form (uncorrected) in eV/atom: -1.766
Space group: R3m

Cell lengths 8.5356, 8.5356, 8.5356 Å; angles 59.45, 59.45, 59.45 degrees
Last column: nearest neighbours and their distance in Å.
Positions (direct):
Na 0.0000 0.0000 0.0000  4 Se 2.81
Pm 0.3686 0.3686 0.3686  6 Se 2.88-3.02
Dy 0.3684 0.3684 0.8878  6 Se 2.81-2.97
Dy 0.3684 0.8878 0.3684  6 Se 2.81-2.97
Dy 0.7474 0.7474 0.7474  4 Se 2.75-2.78
Dy 0.8878 0.3684 0.3684  6 Se 2.81-2.97
Se 0.1292 0.1292 0.5948  1 Na 2.81, 2 Dy 2.81, 1 Pm 2.88
Se 0.1292 0.5948 0.1292  1 Na 2.81, 2 Dy 2.81, 1 Pm 2.88
Se 0.1338 0.1338 0.1338  1 Na 2.81, 3 Dy 2.82
Se 0.1451 0.6190 0.6190  3 Dy 2.75-2.96, 1 Pm 3.02
Se 0.5948 0.1292 0.1292  1 Na 2.81, 2 Dy 2.81, 1 Pm 2.88
Se 0.6150 0.6150 0.6150  4 Dy 2.78-2.97
Se 0.6190 0.1451 0.6190  3 Dy 2.75-2.96, 1 Pm 3.02
Se 0.6190 0.6190 0.1451  3 Dy 2.75-2.96, 1 Pm 3.02

***

Entry 2:
The following is a DFT calculation (PBE) of a geometry-optimized CaPrZn4 structure.

Size of the total moment in μB/atom: 0.00
DFT formation energy in meV per atom: -280
Energy above the most stable polymorph in this dataset in meV per atom: 35.1
Calculated density in g/cm3: 6.0
Space group: F-43m

Cell lengths 5.5860, 5.5860, 5.5860 Å; angles 60.00, 60.00, 60.00 degrees
Last column: nearest neighbours and their distance in Å.
Positions (direct):
Ca 0.0000 0.0000 0.0000  12 Zn 3.28, 4 Pr 3.42
Pr 0.7500 0.7500 0.7500  12 Zn 3.27, 4 Ca 3.42
Zn 0.3762 0.3762 0.3762  6 Zn 2.77-2.82
Zn 0.3762 0.3762 0.8714  6 Zn 2.77-2.82
Zn 0.3762 0.8714 0.3762  6 Zn 2.77-2.82
Zn 0.8714 0.3762 0.3762  6 Zn 2.77-2.82

***

Entry 3:
The following is a DFT calculation (PBE) of a geometry-optimized CsIn2Bi structure.

Size of the total moment in μB/atom: 0.00
DFT formation energy in meV per atom: -111
Calculated density in g/cm3: 5.6
Space group: R-3m

Cell lengths 8.2087, 8.2087, 8.2087 Å; angles 36.01, 36.01, 36.01 degrees
Last column: nearest neighbours and their distance in Å.
Positions (direct):
Cs 0.0000 0.0000 0.0000  6 In 3.87
In 0.2234 0.2234 0.2234  3 Bi 3.21
In 0.7766 0.7766 0.7766  3 Bi 3.21
Bi 0.5000 0.5000 0.5000  6 In 3.21

***

size of the total moment of number 1 (NaPmDy4Se8)?
0.00 μB/atom